# LiW6CCl18

Crystalline LiW6CCl18 at its relaxed geometry (GGA-PBEsol, Alexandria via LeMat-Bulk).

The structure belongs to space group P6_3/m (No. 176); the cell edges are 9.0332, 9.0332 and 17.0077 Å and the angles 90.00°, 90.00° and 120.00°. The distinct sites, in fractional coordinates, are Li at (0.0000, 0.0000, 0.0000), W at (0.1807, 0.7054, 0.1660), C at (0.3333, 0.6667, 0.2500), Cl at (0.0250, 0.2441, 0.5965), Cl at (0.0596, 0.4757, 0.7500), Cl at (0.0635, 0.2788, 0.2500) and Cl at (0.0970, 0.4772, 0.0753).

The calculation puts the volume at 1201.9 Å³/cell. Its uncorrected formation energy is -0.9019 eV/atom. Its total energy is -5.92 eV/atom. The theoretical density is 4864 kg/m³.

***

# Cr3Re

Crystalline Cr3Re at its relaxed geometry (GGA-PBEsol, Alexandria via LeMat-Bulk).

The structure belongs to space group Cmcm (No. 63); the cell edges are 5.798, 8.201 and 4.072 Å and the angles 90.00°, 90.00° and 90.00°. The distinct sites, in fractional coordinates, are Cr at (0.000, 0.123, 0.250), Cr at (0.243, 0.124, 0.750) and Re at (0.000, 0.373, 0.750).

The calculation puts the formation energy at 0.032 eV/atom. The calculation puts the volume at 193.6 Å³/cell. Its total energy is -10.98 eV/atom. The theoretical density is 11737 kg/m³.

***

# CuOsRh2

Crystalline CuOsRh2 at its relaxed geometry (GGA-PBEsol, Alexandria via LeMat-Bulk).

The structure belongs to space group P4/mmm (No. 123); the cell edges are 4.471, 4.471 and 2.701 Å and the angles 90.00°, 90.00° and 90.00°. The distinct sites, in fractional coordinates, are Cu at (0.000, 0.000, 0.000), Os at (0.500, 0.500, 0.000) and Rh at (0.000, 0.500, 0.500).

The calculation puts the formation energy at 0.340 eV/atom. The distance to the lowest polymorph of the same formula is 316 meV per atom. The calculation puts the volume at 54.0 Å³/cell. Its total energy is -7.87 eV/atom. The theoretical density is 14138 kg/m³.

***

# SrLaNi2

Crystalline SrLaNi2 at its relaxed geometry (GGA-PBEsol, Alexandria via LeMat-Bulk).

The structure belongs to space group F-43m (No. 216); the cell edges are 6.740, 6.740 and 6.740 Å and the angles 90.00°, 90.00° and 90.00°. The distinct sites, in fractional coordinates, are Sr at (0.000, 0.000, 0.000), La at (0.250, 0.250, 0.250), Ni at (0.000, 0.000, 0.500) and Ni at (0.250, 0.250, 0.750).

The calculation puts the formation energy at 0.280 eV/atom. The distance to the lowest polymorph of the same formula is 396 meV per atom. The calculation puts the volume at 306.2 Å³/cell. Its total energy is -4.60 eV/atom. The theoretical density is 7461 kg/m³.

***

# Zn2SbCl

Crystalline Zn2SbCl at its relaxed geometry (GGA-PBEsol, Alexandria via LeMat-Bulk).

The structure belongs to space group I-42d (No. 122); the cell edges are 5.774, 5.774 and 12.397 Å and the angles 90.00°, 90.00° and 90.00°. The distinct sites, in fractional coordinates, are Zn at (0.243, 0.250, 0.125), Sb at (0.000, 0.000, 0.000) and Cl at (0.000, 0.000, 0.500).

The distance to the lowest polymorph of the same formula is 0 meV per atom. The calculation puts the volume at 413.3 Å³/cell. Its uncorrected formation energy is -0.2787 eV/atom. Its total energy is -2.71 eV/atom. The theoretical density is 4629 kg/m³.

***

# GaMoIr2Au

Crystalline GaMoIr2Au at its relaxed geometry (GGA-PBEsol, Alexandria via LeMat-Bulk).

The structure belongs to space group P4/mmm (No. 123); the cell edges are 4.855, 4.855 and 4.691 Å and the angles 90.00°, 90.00° and 90.00°. The distinct sites, in fractional coordinates, are Ga at (0.000, 0.000, 0.000), Mo at (0.500, 0.500, 0.000), Ir at (0.000, 0.500, 0.500) and Au at (0.500, 0.500, 0.500).

The calculation puts the formation energy at 2.249 eV/atom. The calculation puts the volume at 110.6 Å³/cell. Its total energy is -5.49 eV/atom. The theoretical density is 11219 kg/m³.